Entry from Alexandria: an optimized crystal structure of Cs2TlSiS4 (PBE-GGA).

Cell: 14.4052 13.0325 7.7224 Å, 83.73 64.07 32.20°
Sites, in units of the cell vectors:
1 Cs 0.0550 0.0550 0.6950
2 Cs 0.3050 0.3050 0.9450
3 Cs 0.6950 0.6950 0.0550
4 Cs 0.9450 0.9450 0.3050
5 Tl 0.1250 0.1250 0.1250
6 Tl 0.8750 0.8750 0.8750
7 Si 0.3750 0.3750 0.3750
8 Si 0.6250 0.6250 0.6250
9 S 0.0505 0.6009 0.5161
10 S 0.3325 0.5161 0.6009
11 S 0.3991 0.9495 0.6675
12 S 0.4839 0.6675 0.9495
13 S 0.5161 0.3325 0.0505
14 S 0.6009 0.0505 0.3325
15 S 0.6675 0.4839 0.3991
16 S 0.9495 0.3991 0.4839

Calculated values
N(E_F): 0.62 states/eV per atom
Space-group type: No. 70
Calculated total energy: -32.39 eV per formula unit

---

Entry from Alexandria: an optimized crystal structure of CsTl2SiS4 (PBE-GGA).

Cell: 8.7553 8.7553 8.7553 Å, 114.87 106.97 106.72°
Sites, in units of the cell vectors:
1 Cs 0.0000 0.0000 0.0000
2 Cs 0.5000 0.0000 0.5000
3 Tl 0.0000 0.5000 0.5000
4 Tl 0.5000 0.0000 0.0000
5 Tl 0.5000 0.5000 0.0000
6 Tl 0.5000 0.5000 0.5000
7 Si 0.0000 0.0000 0.5000
8 Si 0.0000 0.5000 0.0000
9 S 0.2071 0.2299 0.5229
10 S 0.2071 0.6842 0.9771
11 S 0.2084 0.0000 0.7084
12 S 0.2084 0.5000 0.2084
13 S 0.7916 0.0000 0.2916
14 S 0.7916 0.5000 0.7916
15 S 0.7929 0.3158 0.0229
16 S 0.7929 0.7701 0.4771

Calculated values
N(E_F): 0.44 states/eV per atom
Space-group type: No. 74
Calculated total energy: -30.36 eV per formula unit

---

Entry from Alexandria: an optimized crystal structure of CsTlSiS3 (PBE-GGA).

Cell: 6.7867 6.7867 9.9979 Å, 93.03 93.03 88.09°
Sites, in units of the cell vectors:
1 Cs 0.2001 0.2001 0.1225
2 Cs 0.7999 0.7999 0.8775
3 Tl 0.2766 0.7234 0.5000
4 Tl 0.7234 0.2766 0.5000
5 Si 0.1501 0.1501 0.7058
6 Si 0.8499 0.8499 0.2942
7 S 0.0747 0.7029 0.1994
8 S 0.2091 0.2091 0.5125
9 S 0.2971 0.9253 0.8006
10 S 0.7029 0.0747 0.1994
11 S 0.7909 0.7909 0.4875
12 S 0.9253 0.2971 0.8006

Calculated values
N(E_F): 0.00 states/eV per atom
Space-group type: No. 12
Calculated total energy: -25.70 eV per formula unit

---

Entry from Alexandria: an optimized crystal structure of Cs2TmSiS4 (PBE-GGA).

Cell: 14.7956 13.3228 7.9131 Å, 84.23 63.62 32.15°
Sites, in units of the cell vectors:
1 Cs 0.0532 0.0532 0.6968
2 Cs 0.3032 0.3032 0.9468
3 Cs 0.6968 0.6968 0.0532
4 Cs 0.9468 0.9468 0.3032
5 Tm 0.1250 0.1250 0.1250
6 Tm 0.8750 0.8750 0.8750
7 Si 0.3750 0.3750 0.3750
8 Si 0.6250 0.6250 0.6250
9 S 0.0353 0.6223 0.5418
10 S 0.3007 0.5418 0.6223
11 S 0.3777 0.9647 0.6993
12 S 0.4582 0.6993 0.9647
13 S 0.5418 0.3007 0.0353
14 S 0.6223 0.0353 0.3007
15 S 0.6993 0.4582 0.3777
16 S 0.9647 0.3777 0.4582

Calculated values
N(E_F): 0.33 states/eV per atom
Space-group type: No. 70
Calculated total energy: -37.46 eV per formula unit

---

What did the first record say?
Entry from Alexandria: an optimized crystal structure of Cs2TlSiS4 (PBE-GGA).

Cell: 14.4052 13.0325 7.7224 Å, 83.73 64.07 32.20°
Sites, in units of the cell vectors:
1 Cs 0.0550 0.0550 0.6950
2 Cs 0.3050 0.3050 0.9450
3 Cs 0.6950 0.6950 0.0550
4 Cs 0.9450 0.9450 0.3050
5 Tl 0.1250 0.1250 0.1250
6 Tl 0.8750 0.8750 0.8750
7 Si 0.3750 0.3750 0.3750
8 Si 0.6250 0.6250 0.6250
9 S 0.0505 0.6009 0.5161
10 S 0.3325 0.5161 0.6009
11 S 0.3991 0.9495 0.6675
12 S 0.4839 0.6675 0.9495
13 S 0.5161 0.3325 0.0505
14 S 0.6009 0.0505 0.3325
15 S 0.6675 0.4839 0.3991
16 S 0.9495 0.3991 0.4839

Calculated values
N(E_F): 0.62 states/eV per atom
Space-group type: No. 70
Calculated total energy: -32.39 eV per formula unit